Material: ScCoAgF6
Method: DFT, PBE with a Hubbard U
State: relaxed

Values from the calculation:
DFT total energy ... -5.4981 eV/atom

abc: 5.5140 5.5140 10.3338
angles: 90.00 90.00 120.00
Space group P-31c (No. 163)
Inequivalent atoms, fractional coordinates:
Sc1 0.3333 0.6667 0.2500 [2 per cell]
Co1 0.3333 0.6667 0.7500 [2 per cell]
Ag1 0.0000 0.0000 0.0000 [2 per cell]
F1 0.0030 0.3698 0.1453 [12 per cell]